First-principles (PBE-GGA) data for TaTiAsS2 after structural relaxation, as listed in the Alexandria database.

a b c (Å): 4.666 4.666 5.170
angles (deg): 90.00 90.00 90.00
Space group P4/mmm (No. 123)
One atom of each set of equivalent atoms:
Ta  0.000  0.000  0.000 x1
Ti  0.500  0.500  0.500 x1
As  0.000  0.000  0.500 x1
S  0.000  0.500  0.000 x2

Output
E_form (uncorrected), eV/f.u.: 0.51